[1]
Computed, not measured: a geometry-optimized Ir2OsBr structure at the PBE level of DFT.

abc: 2.791 4.746 4.762
angles: 90.00 90.00 90.00
Fractional coordinates of all 4 atoms:
Ir 0.000 0.000 0.000
Ir 0.500 0.000 0.500
Os 0.000 0.500 0.500
Br 0.500 0.500 0.000

Results
total magnetic moment: 0.04 μB/cell
DOS(E_F): 6.05 states/eV/cell
raw formation energy: 1.172 eV per atom
offset from the most stable computed form: 0.5651 eV/atom
crystal system: orthorhombic
V: 15.77 A^3/atom

[2]
Computed, not measured: a geometry-optimized HfCu2Cl6 structure at the PBE level of DFT.

abc: 9.794 9.794 6.116
angles: 95.30 95.30 92.66
Fractional coordinates of all 18 atoms:
Hf 0.088 0.912 0.750
Hf 0.912 0.088 0.250
Cu 0.399 0.400 0.704
Cu 0.400 0.399 0.204
Cu 0.600 0.601 0.796
Cu 0.601 0.600 0.296
Cl 0.048 0.158 0.607
Cl 0.081 0.694 0.869
Cl 0.158 0.048 0.107
Cl 0.282 0.492 0.450
Cl 0.306 0.919 0.631
Cl 0.492 0.282 0.950
Cl 0.508 0.718 0.050
Cl 0.694 0.081 0.369
Cl 0.718 0.508 0.550
Cl 0.842 0.952 0.893
Cl 0.919 0.306 0.131
Cl 0.952 0.842 0.393

Results
total magnetic moment: 0.00 μB/cell
DOS(E_F): 0.00 states/eV/cell
raw formation energy: -1.197 eV per atom
crystal system: monoclinic
V: 32.27 A^3/atom

[3]
Computed, not measured: a geometry-optimized Li6Tl3Rh2 structure at the PBE level of DFT.

abc: 5.679 5.526 12.994
angles: 90.00 98.80 90.00
Fractional coordinates of all 22 atoms:
Li 0.091 0.026 0.330
Li 0.091 0.474 0.830
Li 0.270 0.653 0.614
Li 0.270 0.847 0.114
Li 0.381 0.181 0.693
Li 0.381 0.319 0.193
Li 0.619 0.681 0.807
Li 0.619 0.819 0.307
Li 0.730 0.153 0.886
Li 0.730 0.347 0.386
Li 0.909 0.526 0.170
Li 0.909 0.974 0.670
Tl 0.236 0.527 0.374
Tl 0.236 0.973 0.874
Tl 0.500 0.000 0.500
Tl 0.500 0.500 0.000
Tl 0.764 0.027 0.126
Tl 0.764 0.473 0.626
Rh 0.083 0.230 0.523
Rh 0.083 0.270 0.023
Rh 0.917 0.730 0.977
Rh 0.917 0.770 0.477

Results
total magnetic moment: 0.00 μB/cell
VASP energy: -3.167 eV/atom
DOS(E_F): 11.45 states/eV/cell
crystal system: monoclinic
V: 18.32 A^3/atom

[4]
Computed, not measured: a geometry-optimized CoPHBr structure at the PBE level of DFT.

abc: 2.848 3.068 7.165
angles: 90.00 101.24 90.00
Fractional coordinates of all 4 atoms:
Co 0.000 0.000 0.000
P 0.436 0.500 0.870
H 0.337 0.500 0.667
Br 0.648 0.000 0.302

Results
total magnetic moment: 0.00 μB/cell
DOS(E_F): 1.65 states/eV/cell
offset from the most stable computed form: 0.2118 eV/atom
crystal system: monoclinic
V: 15.35 A^3/atom

[5]
Computed, not measured: a geometry-optimized NdEr3Cu2 structure at the PBE level of DFT.

abc: 3.468 3.468 12.183
angles: 90.00 90.00 90.00
Fractional coordinates of all 6 atoms:
Nd 0.000 0.000 0.000
Er 0.500 0.500 0.223
Er 0.500 0.500 0.500
Er 0.500 0.500 0.777
Cu 0.000 0.000 0.359
Cu 0.000 0.000 0.641

Results
total magnetic moment: 0.00 μB/cell
VASP energy: -4.612 eV/atom
DOS(E_F): 5.38 states/eV/cell
crystal system: tetragonal
V: 24.43 A^3/atom

[6]
Computed, not measured: a geometry-optimized LiLa2Sn4Au3 structure at the PBE level of DFT.

abc: 4.549 4.549 11.862
angles: 90.00 90.00 90.00
Fractional coordinates of all 10 atoms:
Li 0.000 0.000 0.000
La 0.000 0.500 0.758
La 0.500 0.000 0.242
Sn 0.000 0.000 0.500
Sn 0.000 0.500 0.130
Sn 0.500 0.000 0.870
Sn 0.500 0.500 0.500
Au 0.000 0.500 0.355
Au 0.500 0.000 0.645
Au 0.500 0.500 0.000

Results
total magnetic moment: 0.00 μB/cell
VASP energy: -4.394 eV/atom
DOS(E_F): 4.74 states/eV/cell
crystal system: tetragonal
V: 24.54 A^3/atom

- The highest V belongs to which entry?
  HfCu2Cl6

- What is the total magnetic moment in the sixth record?
  0.00 μB/cell

- Which value of DOS(E_F) does entry 3 give?
  11.45 states/eV/cell